(1)
GGA-PBE Th2Ga3, relaxed; E_form = -0.591 eV per atom; D(E_F) = 5.98 states/eV per cell; ρ = 9.379 g/cm3; SG = Cmcm, No. 63
1.0
-1.918 -3.841 0.378
2.448 -0.898 3.293
-7.995 7.187 7.905
Th Ga
4 6
direct
0.706 0.250 0.412 Th
0.294 0.750 0.588 Th
0.570 0.750 0.141 Th
0.430 0.250 0.859 Th
0.024 0.250 0.048 Ga
0.172 0.750 0.344 Ga
0.828 0.250 0.656 Ga
0.883 0.750 0.765 Ga
0.976 0.750 0.952 Ga
0.117 0.250 0.235 Ga

=====

(2)
GGA-PBE Th5Ga3, relaxed; E_form = -0.353 eV per atom; D(E_F) = 19.65 states/eV per cell; ρ = 10.444 g/cm3; distance to the lowest polymorph of the same formula = 0.00 eV per formula unit; SG = I4/mcm, No. 140
1.0
-3.693 -4.070 -5.670
6.977 -2.320 -2.879
-1.803 -2.426 8.415
Th Ga
10 6
direct
0.180 0.680 0.696 Th
0.516 0.016 0.696 Th
0.484 0.984 0.304 Th
0.680 0.516 0.696 Th
0.016 0.180 0.696 Th
0.984 0.820 0.304 Th
0.000 0.000 0.000 Th
0.500 0.500 0.000 Th
0.320 0.484 0.304 Th
0.820 0.320 0.304 Th
0.377 0.123 0.000 Ga
0.750 0.750 0.500 Ga
0.123 0.623 0.000 Ga
0.877 0.377 0.000 Ga
0.623 0.877 0.000 Ga
0.250 0.250 0.500 Ga

=====

(3)
GGA-PBE ThGa6, relaxed; E_form = 0.163 eV per atom; D(E_F) = 3.55 states/eV per cell; ρ = 6.668 g/cm3; distance to the lowest polymorph of the same formula = 3.24 eV per formula unit; SG = Im-3m, No. 229
1.0
-5.245 2.484 1.302
-0.876 -4.849 -3.331
2.775 -1.527 5.034
Th Ga
1 6
direct
0.000 0.000 0.000 Th
0.500 0.750 0.250 Ga
0.250 0.750 0.500 Ga
0.500 0.250 0.750 Ga
0.750 0.500 0.250 Ga
0.750 0.250 0.500 Ga
0.250 0.500 0.750 Ga

=====

(4)
GGA-PBE Th3Ga2, relaxed; E_form = -0.361 eV per atom; D(E_F) = 6.78 states/eV per cell; ρ = 10.150 g/cm3; distance to the lowest polymorph of the same formula = 0.22 eV per formula unit; SG = Immm, No. 71
1.0
-2.789 1.212 -3.459
-2.647 -4.769 -2.602
-5.839 -0.666 1.408
Th Ga
3 2
direct
0.795 0.705 0.705 Th
0.000 0.000 0.000 Th
0.205 0.295 0.295 Th
0.500 0.303 0.697 Ga
0.500 0.697 0.303 Ga